Entry from the Alexandria database: crystalline TaAgTe2 at its relaxed geometry (GGA-PBE). Values from VASP.

calculated volume: 22.062 Å³/atom
E_tot: -20.9 eV/cell
spin magnetization: 0.00 μB per formula unit
symmetry: P2/m
calculated density: 10.24 Mg/m³

```
&SYSTEM
  ibrav = 0, nat = 4, ntyp = 3
/
ATOMIC_SPECIES
Ta 180.95 Ta.upf
Ag 107.87 Ag.upf
Te 127.60 Te.upf
CELL_PARAMETERS angstrom
3.515 0.000 0.000
0.000 3.506 0.000
-0.064 0.000 7.161
ATOMIC_POSITIONS crystal
Ta 0.000 0.000 0.000
Ag 0.000 0.000 0.500
Te 0.495 0.500 0.774
Te 0.505 0.500 0.226
```